{
  "formula": "BaPuIn2F8",
  "functional": "PBE",
  "state": "optimized geometry",
  "space_group": "Pmmm (47)",
  "formation_energy_uncorrected_mev_per_atom": -2954,
  "total_energy_ev_per_cell": -72.14,
  "magmom_total_mub_per_fu": 3.986,
  "crystal_system": "orthorhombic",
  "density_g_cm3": 5.578,
  "lattice": [[-0.684, -3.294, -2.394], [6.404, -0.512, -1.114], [0.765, -5.042, 6.721]],
  "species": ["In", "In", "F", "F", "F", "F", "F", "F", "F", "F", "Pu", "Ba"],
  "frac_coords": [[0.500, 0.500, 0.255], [0.500, 0.500, 0.745], [0.500, 0.744, 0.500], [0.000, 0.793, 0.787], [0.000, 0.793, 0.213], [0.500, 0.812, 0.000], [0.000, 0.207, 0.787], [0.500, 0.256, 0.500], [0.500, 0.188, 0.000], [0.000, 0.207, 0.213], [0.000, 0.000, 0.000], [0.000, 0.000, 0.500]]
}

{
  "formula": "Ba8Tl2Ir",
  "functional": "PBE",
  "state": "optimized geometry",
  "space_group": "C2/m (12)",
  "polymorph_energy_mev_per_atom": 0,
  "total_energy_ev_per_cell": -31.13,
  "magmom_total_mub_per_fu": 0.098,
  "ef_kj_per_mol_atoms": -18.9,
  "crystal_system": "monoclinic",
  "density_g_cm3": 4.975,
  "lattice": [[4.520, 0.000, -1.136], [0.009, 9.505, 0.036], [0.863, 0.368, 12.990]],
  "species": ["Ba", "Ba", "Ba", "Ba", "Ba", "Ba", "Ba", "Ba", "Ir", "Tl", "Tl"],
  "frac_coords": [[0.381, 0.997, 0.762], [0.394, 0.516, 0.788], [0.008, 0.785, 0.017], [0.992, 0.215, 0.983], [0.761, 0.721, 0.522], [0.619, 0.003, 0.238], [0.239, 0.279, 0.478], [0.606, 0.484, 0.212], [0.500, 0.000, 0.000], [0.158, 0.726, 0.316], [0.842, 0.274, 0.684]]
}

{
  "formula": "MgNbAg",
  "functional": "PBE",
  "state": "optimized geometry",
  "space_group": "Cmcm (63)",
  "polymorph_energy_mev_per_atom": 337,
  "total_energy_ev_per_cell": -53.36,
  "magmom_total_mub_per_fu": 0.000,
  "ef_kj_per_mol_atoms": 37.8,
  "crystal_system": "orthorhombic",
  "density_g_cm3": 6.629,
  "lattice": [[-2.429, 7.800, -0.166], [-4.584, -1.498, -3.326], [-2.578, -0.720, 3.877]],
  "species": ["Mg", "Mg", "Mg", "Mg", "Nb", "Nb", "Nb", "Nb", "Ag", "Ag", "Ag", "Ag"],
  "frac_coords": [[0.000, 0.000, 0.000], [0.500, 0.000, 0.500], [0.500, 0.500, 0.500], [0.000, 0.500, 0.000], [0.167, 0.750, 0.500], [0.667, 0.750, 0.000], [0.833, 0.250, 0.500], [0.333, 0.250, 0.000], [0.334, 0.750, 0.000], [0.666, 0.250, 0.000], [0.834, 0.750, 0.500], [0.166, 0.250, 0.500]]
}

{
  "formula": "YTcAsBr2",
  "functional": "PBE",
  "state": "optimized geometry",
  "space_group": "P4/mmm (123)",
  "polymorph_energy_mev_per_atom": 211,
  "formation_energy_uncorrected_mev_per_atom": 229,
  "total_energy_ev_per_cell": -23.68,
  "magmom_total_mub_per_fu": 4.870,
  "crystal_system": "tetragonal",
  "density_g_cm3": 4.164,
  "lattice": [[-2.848, 4.538, 0.562], [-1.160, -0.076, -5.260], [-4.758, -3.122, 1.095]],
  "species": ["Y", "Br", "Br", "Tc", "As"],
  "frac_coords": [[0.000, 0.000, 0.000], [0.000, 0.500, 0.000], [0.500, 0.000, 0.000], [0.500, 0.500, 0.500], [0.000, 0.000, 0.500]]
}

{
  "formula": "Dy2Ag2Pd5",
  "functional": "PBE",
  "state": "optimized geometry",
  "space_group": "Ima2 (46)",
  "total_energy_ev_per_cell": -90.15,
  "magmom_total_mub_per_fu": 0.000,
  "ef_kj_per_mol_atoms": -45.1,
  "crystal_system": "orthorhombic",
  "density_g_cm3": 10.544,
  "lattice": [[-1.457, -4.846, 0.306], [8.367, -2.298, 3.454], [-5.873, 4.716, 4.737]],
  "species": ["Ag", "Ag", "Ag", "Ag", "Dy", "Dy", "Dy", "Dy", "Pd", "Pd", "Pd", "Pd", "Pd", "Pd", "Pd", "Pd", "Pd", "Pd"],
  "frac_coords": [[0.500, 0.564, 0.000], [0.000, 0.064, 0.000], [0.704, 0.816, 0.500], [0.296, 0.316, 0.500], [0.664, 0.192, 0.254], [0.090, 0.692, 0.254], [0.336, 0.938, 0.746], [0.910, 0.438, 0.746], [0.001, 0.566, 0.500], [0.400, 0.966, 0.302], [0.600, 0.664, 0.698], [0.206, 0.770, 0.911], [0.795, 0.359, 0.089], [0.205, 0.270, 0.911], [0.794, 0.859, 0.089], [0.402, 0.466, 0.302], [0.999, 0.066, 0.500], [0.598, 0.164, 0.698]]
}

{
  "formula": "K2TlPt",
  "functional": "PBE",
  "state": "optimized geometry",
  "space_group": "Cmmm (65)",
  "polymorph_energy_mev_per_atom": 299,
  "total_energy_ev_per_cell": -9.96,
  "magmom_total_mub_per_fu": 0.000,
  "ef_kj_per_mol_atoms": 15.5,
  "crystal_system": "orthorhombic",
  "density_g_cm3": 6.976,
  "lattice": [[-6.119, -0.443, -1.209], [3.183, -5.339, -0.678], [-0.556, -0.723, 3.067]],
  "species": ["K", "K", "Tl", "Pt"],
  "frac_coords": [[0.500, 0.500, 0.000], [0.000, 0.000, 0.000], [0.000, 0.500, 0.500], [0.500, 0.000, 0.500]]
}

{
  "formula": "AlBi5",
  "functional": "PBE",
  "state": "optimized geometry",
  "space_group": "Cmmm (65)",
  "total_energy_ev_per_cell": -22.18,
  "magmom_total_mub_per_fu": 0.000,
  "ef_kj_per_mol_atoms": 15.6,
  "crystal_system": "orthorhombic",
  "density_g_cm3": 9.638,
  "lattice": [[5.243, 0.000, 0.000], [0.000, 4.001, 0.000], [0.000, -2.001, 8.803]],
  "species": ["Bi", "Bi", "Bi", "Bi", "Bi", "Al"],
  "frac_coords": [[0.500, 0.500, 0.000], [0.500, 0.821, 0.643], [0.000, 0.631, 0.262], [0.500, 0.179, 0.357], [0.000, 0.369, 0.738], [0.000, 0.000, 0.000]]
}

{
  "formula": "TmBe2SiIr",
  "functional": "PBE",
  "state": "optimized geometry",
  "space_group": "Imm2 (44)",
  "formation_energy_uncorrected_mev_per_atom": -577,
  "total_energy_ev_per_cell": -29.09,
  "magmom_total_mub_per_fu": 0.000,
  "crystal_system": "orthorhombic",
  "density_g_cm3": 9.343,
  "lattice": [[-1.274, 3.143, -1.668], [-2.846, -2.013, -1.619], [-0.837, 0.356, 5.592]],
  "species": ["Be", "Be", "Si", "Tm", "Ir"],
  "frac_coords": [[0.692, 0.192, 0.384], [0.063, 0.063, 0.126], [0.828, 0.828, 0.657], [0.444, 0.444, 0.889], [0.185, 0.685, 0.369]]
}

{
  "formula": "CrIrRhW",
  "functional": "PBE",
  "state": "optimized geometry",
  "space_group": "Pmmm (47)",
  "total_energy_ev_per_cell": -39.51,
  "magmom_total_mub_per_fu": 0.906,
  "ef_kj_per_mol_atoms": -17.3,
  "crystal_system": "orthorhombic",
  "density_g_cm3": 15.555,
  "lattice": [[-2.951, -0.399, 2.437], [-1.707, -2.409, -2.462], [1.776, -2.959, 1.665]],
  "species": ["Rh", "W", "Ir", "Cr"],
  "frac_coords": [[0.500, 0.000, 0.500], [0.000, 0.000, 0.000], [0.000, 0.500, 0.500], [0.500, 0.500, 0.000]]
}

{
  "formula": "LuMgHgRu",
  "functional": "PBE",
  "state": "optimized geometry",
  "space_group": "F-43m (216)",
  "total_energy_ev_per_cell": -16.47,
  "magmom_total_mub_per_fu": 0.000,
  "ef_kj_per_mol_atoms": -18.8,
  "crystal_system": "cubic",
  "density_g_cm3": 10.729,
  "lattice": [[4.786, 0.000, 0.000], [2.393, 4.145, 0.000], [2.393, 1.382, 3.908]],
  "species": ["Mg", "Lu", "Hg", "Ru"],
  "frac_coords": [[0.750, 0.750, 0.750], [0.250, 0.250, 0.250], [0.000, 0.000, 0.000], [0.500, 0.500, 0.500]]
}

{
  "formula": "NaHfSi2Pt",
  "functional": "PBE",
  "state": "optimized geometry",
  "space_group": "P4/mmm (123)",
  "formation_energy_uncorrected_mev_per_atom": 458,
  "total_energy_ev_per_cell": -25.87,
  "magmom_total_mub_per_fu": 0.000,
  "crystal_system": "tetragonal",
  "density_g_cm3": 5.730,
  "lattice": [[-2.755, -3.377, -2.677], [-0.038, -3.096, 3.945], [-4.309, 2.188, 1.675]],
  "species": ["Na", "Pt", "Si", "Si", "Hf"],
  "frac_coords": [[0.500, 0.500, 0.500], [0.000, 0.500, 0.000], [0.000, 0.000, 0.500], [0.500, 0.000, 0.000], [0.000, 0.000, 0.000]]
}

{
  "formula": "K6Rb5Sr",
  "functional": "PBE",
  "state": "optimized geometry",
  "space_group": "C2/m (12)",
  "total_energy_ev_per_cell": -12.58,
  "magmom_total_mub_per_fu": 0.000,
  "ef_kj_per_mol_atoms": 4.2,
  "crystal_system": "monoclinic",
  "density_g_cm3": 1.338,
  "lattice": [[7.188, -0.018, -2.023], [-5.296, 10.665, -5.040], [-0.282, -1.074, 12.883]],
  "species": ["Rb", "Rb", "Rb", "Rb", "Rb", "K", "K", "K", "K", "K", "K", "Sr"],
  "frac_coords": [[0.500, 0.164, 0.836], [0.500, 0.836, 0.164], [0.000, 0.665, 0.335], [0.000, 0.335, 0.665], [0.500, 0.500, 0.500], [0.756, 0.594, 0.920], [0.737, 0.237, 0.237], [0.263, 0.763, 0.763], [0.756, 0.920, 0.594], [0.244, 0.406, 0.080], [0.244, 0.080, 0.406], [0.000, 0.000, 0.000]]
}

{
  "formula": "AcNdMg2Hg4",
  "functional": "PBE",
  "state": "optimized geometry",
  "space_group": "R-3m (166)",
  "total_energy_ev_per_cell": -16.86,
  "magmom_total_mub_per_fu": 0.000,
  "ef_kj_per_mol_atoms": -43.3,
  "crystal_system": "trigonal",
  "density_g_cm3": 9.690,
  "lattice": [[-2.296, 3.463, -3.236], [-4.811, -0.969, -1.910], [-5.909, 4.892, 5.142]],
  "species": ["Hg", "Hg", "Hg", "Hg", "Mg", "Mg", "Ac", "Nd"],
  "frac_coords": [[0.620, 0.620, 0.139], [0.380, 0.380, 0.861], [0.872, 0.872, 0.383], [0.128, 0.128, 0.617], [0.753, 0.753, 0.742], [0.247, 0.247, 0.258], [0.000, 0.000, 0.000], [0.500, 0.500, 0.500]]
}

{
  "formula": "TeMoWAu2",
  "functional": "PBE",
  "state": "optimized geometry",
  "space_group": "P4/mmm (123)",
  "formation_energy_uncorrected_mev_per_atom": 2178,
  "total_energy_ev_per_cell": -22.59,
  "magmom_total_mub_per_fu": 2.398,
  "crystal_system": "tetragonal",
  "density_g_cm3": 10.637,
  "lattice": [[-4.718, -0.058, -1.626], [-0.596, -4.614, 1.893], [-1.516, 1.971, 4.327]],
  "species": ["Te", "Au", "Au", "W", "Mo"],
  "frac_coords": [[0.000, 0.000, 0.000], [0.000, 0.000, 0.500], [0.500, 0.000, 0.000], [0.500, 0.500, 0.500], [0.000, 0.500, 0.000]]
}

{
  "formula": "TlGe2BSe6",
  "functional": "PBE",
  "state": "optimized geometry",
  "space_group": "C2/c (15)",
  "formation_energy_uncorrected_mev_per_atom": -127,
  "total_energy_ev_per_cell": -80.90,
  "magmom_total_mub_per_fu": 0.000,
  "crystal_system": "monoclinic",
  "density_g_cm3": 5.085,
  "lattice": [[-4.021, 4.162, -3.752], [-5.955, -5.165, -5.207], [-7.611, 2.462, 5.026]],
  "species": ["Ge", "Ge", "Ge", "Ge", "Se", "Se", "Se", "Se", "Se", "Se", "Se", "Se", "Se", "Se", "Se", "Se", "Tl", "Tl", "B", "B"],
  "frac_coords": [[0.189, 0.375, 0.198], [0.811, 0.625, 0.802], [0.311, 0.802, 0.625], [0.689, 0.198, 0.375], [0.026, 0.629, 0.307], [0.526, 0.307, 0.629], [0.559, 0.360, 0.187], [0.059, 0.187, 0.360], [0.820, 0.751, 0.021], [0.474, 0.693, 0.371], [0.441, 0.640, 0.813], [0.320, 0.021, 0.751], [0.974, 0.371, 0.693], [0.180, 0.249, 0.979], [0.680, 0.979, 0.249], [0.941, 0.813, 0.640], [0.250, 0.883, 0.117], [0.750, 0.117, 0.883], [0.250, 0.259, 0.741], [0.750, 0.741, 0.259]]
}

{
  "formula": "CuMoC2",
  "functional": "PBE",
  "state": "optimized geometry",
  "space_group": "Fm-3m (225)",
  "polymorph_energy_mev_per_atom": 525,
  "total_energy_ev_per_cell": -27.83,
  "magmom_total_mub_per_fu": 0.000,
  "ef_kj_per_mol_atoms": 133.7,
  "crystal_system": "cubic",
  "density_g_cm3": 7.995,
  "lattice": [[0.319, -3.612, -1.059], [-2.898, -1.735, -1.691], [0.206, -0.882, -3.667]],
  "species": ["C", "C", "Cu", "Mo"],
  "frac_coords": [[0.250, 0.250, 0.250], [0.750, 0.750, 0.750], [0.000, 0.000, 0.000], [0.500, 0.500, 0.500]]
}

{
  "formula": "KTl4Ga2",
  "functional": "PBE",
  "state": "optimized geometry",
  "space_group": "Cmmm (65)",
  "total_energy_ev_per_cell": -16.70,
  "magmom_total_mub_per_fu": 0.000,
  "ef_kj_per_mol_atoms": -1.2,
  "crystal_system": "orthorhombic",
  "density_g_cm3": 7.855,
  "lattice": [[-2.831, 4.067, -1.095], [-0.474, -1.729, -5.197], [-5.993, -2.975, 4.445]],
  "species": ["K", "Tl", "Tl", "Tl", "Tl", "Ga", "Ga"],
  "frac_coords": [[0.000, 0.000, 0.000], [0.500, 0.827, 0.653], [0.000, 0.684, 0.368], [0.000, 0.316, 0.632], [0.500, 0.173, 0.347], [0.500, 0.414, 0.827], [0.500, 0.586, 0.173]]
}

{
  "formula": "AlGeC2O",
  "functional": "PBE",
  "state": "optimized geometry",
  "space_group": "P4/mmm (123)",
  "formation_energy_uncorrected_mev_per_atom": 1768,
  "total_energy_ev_per_cell": -22.93,
  "magmom_total_mub_per_fu": 0.000,
  "crystal_system": "tetragonal",
  "density_g_cm3": 2.808,
  "lattice": [[3.661, 0.000, 0.000], [0.000, 6.162, 0.000], [0.000, 0.000, 3.661]],
  "species": ["O", "C", "C", "Ge", "Al"],
  "frac_coords": [[0.500, 0.500, 0.500], [0.000, 0.000, 0.500], [0.500, 0.000, 0.000], [0.000, 0.500, 0.000], [0.000, 0.000, 0.000]]
}

{
  "formula": "MgSb4Mo",
  "functional": "PBE",
  "state": "optimized geometry",
  "space_group": "F-43m (216)",
  "formation_energy_uncorrected_mev_per_atom": 800,
  "total_energy_ev_per_cell": -24.12,
  "magmom_total_mub_per_fu": 4.340,
  "crystal_system": "cubic",
  "density_g_cm3": 6.034,
  "lattice": [[0.132, -2.055, 5.830], [-4.439, -3.788, 2.044], [1.291, -5.935, 1.157]],
  "species": ["Sb", "Sb", "Sb", "Sb", "Mg", "Mo"],
  "frac_coords": [[0.874, 0.375, 0.375], [0.375, 0.874, 0.375], [0.375, 0.375, 0.874], [0.375, 0.375, 0.375], [0.750, 0.750, 0.750], [0.000, 0.000, 0.000]]
}

{
  "formula": "AcCe2Br8",
  "functional": "PBE",
  "state": "optimized geometry",
  "space_group": "C2/m (12)",
  "formation_energy_uncorrected_mev_per_atom": -1739,
  "total_energy_ev_per_cell": -48.49,
  "magmom_total_mub_per_fu": 3.033,
  "crystal_system": "monoclinic",
  "density_g_cm3": 5.504,
  "lattice": [[-2.473, 3.877, 3.618], [-6.346, -4.967, -1.047], [5.454, -3.188, 5.112]],
  "species": ["Br", "Br", "Br", "Br", "Br", "Br", "Br", "Br", "Ac", "Ce", "Ce"],
  "frac_coords": [[0.082, 0.319, 0.065], [0.918, 0.935, 0.681], [0.500, 0.233, 0.767], [0.918, 0.681, 0.935], [0.670, 0.361, 0.361], [0.500, 0.767, 0.233], [0.330, 0.639, 0.639], [0.082, 0.065, 0.319], [0.500, 0.000, 0.000], [0.000, 0.318, 0.682], [0.000, 0.682, 0.318]]
}

{
  "formula": "ZrPRh2",
  "functional": "PBE",
  "state": "optimized geometry",
  "space_group": "C2/m (12)",
  "total_energy_ev_per_cell": -30.36,
  "magmom_total_mub_per_fu": 0.000,
  "ef_kj_per_mol_atoms": -40.9,
  "crystal_system": "monoclinic",
  "density_g_cm3": 8.666,
  "lattice": [[4.542, 2.743, -0.063], [-4.542, 2.743, -0.063], [0.000, 1.555, 2.488]],
  "species": ["P", "Zr", "Rh", "Rh"],
  "frac_coords": [[0.500, 0.500, 0.500], [0.000, 0.000, 0.500], [0.000, 0.500, 0.000], [0.500, 0.000, 0.000]]
}